## MnNb2Co3 (GGA-PBE)

Data for MnNb2Co3 after structural relaxation.

Output
Raw total energy in eV/atom: -8.61
Energy relative to the elements in eV/atom: -0.1740
Space-group type: R-3m (166)

Lattice parameters (Å, degrees): 4.766 4.766 4.766 60.85 60.85 60.85
Atoms (fractional coordinates):
Mn 0.000 0.000 0.000
Nb 0.374 0.374 0.374
Nb 0.626 0.626 0.626
Co 0.000 0.000 0.500
Co 0.000 0.500 0.000
Co 0.500 0.000 0.000